Record 1
# AlSb3Se6

An optimized crystal structure of AlSb3Se6 (PBE-GGA, Alexandria).

Output
Formation energy from raw total energies, meV per atom: -343
Electronic total energy, eV per formula unit: -40.45
Space-group type: P2_1/m (11)

Cell lengths 3.8722, 12.4433, 13.1587 Å; angles 109.79, 90.00, 90.00 degrees
Closest atoms and distances in Å follow each position.
Fractional positions:
Sb (0.7500, 0.4372, 0.7001)  3 Se 2.66-2.69
Sb (0.7500, 0.8534, 0.4338)  5 Se 2.74-2.91
Sb (0.2500, 0.1466, 0.5662)  5 Se 2.74-2.91
Sb (0.2500, 0.9291, 0.8423)  3 Se 2.74
Sb (0.2500, 0.5628, 0.2999)  3 Se 2.66-2.69
Sb (0.7500, 0.0709, 0.1577)  3 Se 2.74
Al (0.7500, 0.7128, 0.9260)  5 Se 2.47-2.76
Al (0.2500, 0.2872, 0.0740)  5 Se 2.47-2.76
Se (0.2500, 0.2333, 0.2392)  1 Al 2.48, 2 Sb 2.74
Se (0.2500, 0.3882, 0.5495)  2 Sb 2.69
Se (0.7500, 0.2385, 0.7343)  3 Sb 2.66-2.87
Se (0.2500, 0.5853, 0.9126)  2 Al 2.47
Se (0.2500, 0.9450, 0.6068)  3 Sb 2.74-2.91
Se (0.2500, 0.8716, 0.0255)  1 Sb 2.74, 2 Al 2.76
Se (0.7500, 0.0550, 0.3932)  3 Sb 2.74-2.91
Se (0.7500, 0.4147, 0.0874)  2 Al 2.47
Se (0.2500, 0.7615, 0.2657)  3 Sb 2.66-2.87
Se (0.7500, 0.7667, 0.7608)  1 Al 2.48, 2 Sb 2.74
Se (0.7500, 0.6118, 0.4505)  2 Sb 2.69
Se (0.7500, 0.1284, 0.9745)  1 Sb 2.74, 2 Al 2.76



Record 2
# Mg2AlAu

An optimized crystal structure of Mg2AlAu (PBE-GGA, Alexandria).

Output
Electronic total energy, eV per formula unit: -11.50
Space-group type: Pm (6)
DFT formation energy, eV/atom: -0.32

Cell lengths 4.4183, 3.2710, 5.5688 Å; angles 72.60, 90.00, 90.00 degrees
Closest atoms and distances in Å follow each position.
Fractional positions:
Mg (0.5000, 0.2923, 0.2926)  3 Au 2.82-2.98, 4 Al 2.94-2.95
Mg (0.0000, 0.9597, 0.9537)  3 Al 2.86-2.95, 4 Au 2.93-2.94
Au (0.5000, 0.5558, 0.7614)  2 Al 2.63, 5 Mg 2.82-2.94
Al (0.0000, 0.6923, 0.4923)  2 Au 2.63, 4 Mg 2.86-2.94



Record 3
# PmMgTlNi

An optimized crystal structure of PmMgTlNi (PBE-GGA, Alexandria).

Output
Electronic total energy, eV per formula unit: -15.11
Space-group type: F-43m (216)
DFT formation energy, eV/atom: -0.16

Cell lengths 4.9987, 4.9987, 4.9987 Å; angles 60.00, 60.00, 60.00 degrees
Closest atoms and distances in Å follow each position.
Fractional positions:
Mg (0.5000, 0.5000, 0.5000)  4 Tl 3.06, 4 Ni 3.06
Tl (0.7500, 0.7500, 0.7500)  4 Mg 3.06, 4 Pm 3.06
Ni (0.2500, 0.2500, 0.2500)  4 Mg 3.06, 4 Pm 3.06
Pm (0.0000, 0.0000, 0.0000)  4 Ni 3.06, 4 Tl 3.06



Record 4
# Rb4AgI5

An optimized crystal structure of Rb4AgI5 (PBE-GGA, Alexandria).

Output
Formation energy from raw total energies, meV per atom: -1199
Electronic total energy, eV per formula unit: -26.46
Space-group type: I4 (79)

Cell lengths 7.4565, 8.8255, 8.8255 Å; angles 79.72, 65.01, 65.01 degrees
Closest atoms and distances in Å follow each position.
Fractional positions:
I (0.9093, 0.3520, 0.8226)  1 Ag 3.20
I (0.7318, 0.1774, 0.3520)  1 Ag 3.20
I (0.2613, 0.8226, 0.6480)  1 Ag 3.20
I (0.0839, 0.6480, 0.1774)  1 Ag 3.20
I (0.4580, 0.0000, 0.0000)  1 Ag 2.87
Rb (0.4070, 0.3912, 0.7915)  6 I 3.56-3.91
Rb (0.5897, 0.6088, 0.2085)  6 I 3.56-3.91
Rb (0.7982, 0.7915, 0.6088)  6 I 3.56-3.91
Rb (0.1985, 0.2085, 0.3912)  6 I 3.56-3.91
Ag (0.0726, 0.0000, 0.0000)  5 I 2.87-3.20



Record 5
# Np2As4Pd

An optimized crystal structure of Np2As4Pd (PBE-GGA, Alexandria).

Output
Electronic total energy, eV per formula unit: -53.32
Space-group type: P-4m2 (115)
DFT formation energy, eV/atom: -0.52

Cell lengths 3.9739, 3.9739, 9.2743 Å; angles 90.00, 90.00, 90.00 degrees
Closest atoms and distances in Å follow each position.
Fractional positions:
As (0.5000, 0.0000, 0.1715)  2 Pd 2.55
As (0.0000, 0.5000, 0.8285)  2 Pd 2.55
As (0.5000, 0.5000, 0.5000)  4 As 2.81, 4 Np 3.03
As (0.0000, 0.0000, 0.5000)  4 As 2.81, 4 Np 3.03
Pd (0.5000, 0.5000, 0.0000)  4 As 2.55
Np (0.0000, 0.5000, 0.2539)  8 As 2.91-3.03, 2 Pd 3.08
Np (0.5000, 0.0000, 0.7461)  8 As 2.91-3.03, 2 Pd 3.08



Record 6
# TcAg2W

An optimized crystal structure of TcAg2W (PBE-GGA, Alexandria).

Output
Electronic total energy, eV per formula unit: -26.82
Space-group type: Cm (8)
DFT formation energy, eV/atom: 0.55

Cell lengths 4.8738, 4.8738, 5.2931 Å; angles 84.89, 84.89, 31.62 degrees
Closest atoms and distances in Å follow each position.
Fractional positions:
W (0.7466, 0.7466, 0.7269)  3 Tc 2.59-2.88, 2 W 2.66
Tc (0.5049, 0.5049, 0.5251)  3 W 2.59-2.88, 2 Tc 2.66, 2 Ag 2.90
Ag (0.9993, 0.9993, 0.0130)  5 Ag 2.66-2.85, 2 Tc 2.90, 3 W 2.93-2.96
Ag (0.2492, 0.2492, 0.2351)  5 Ag 2.66-2.85, 2 W 2.92, 3 Tc 2.95-2.96



Number 1: calculated volume 29.8 A^3/atom. Number 2: calculated volume 19.2 A^3/atom. Number 3: calculated volume 22.1 A^3/atom. Number 4: calculated volume 47.7 A^3/atom. Number 5: calculated volume 20.9 A^3/atom. Number 6: calculated volume 16.4 A^3/atom.